1.
Compound: Sm6CoPt2
Source: the Alexandria database
Functional: PBE
Structure: optimized geometry

Results
As for the space-group type: No. 14.

Cell: 6.713 7.349 11.891 Å, 90.00 121.81 90.00°
Positions (direct):
Sm1 0.101 0.039 0.250
Sm2 0.101 0.461 0.750
Sm3 0.246 0.682 0.071
Sm4 0.246 0.818 0.571
Sm5 0.389 0.180 0.064
Sm6 0.389 0.320 0.564
Sm7 0.611 0.680 0.436
Sm8 0.611 0.820 0.936
Sm9 0.754 0.182 0.429
Sm10 0.754 0.318 0.929
Sm11 0.899 0.539 0.250
Sm12 0.899 0.961 0.750
Co1 0.000 0.000 0.000
Co2 0.000 0.500 0.500
Pt1 0.316 0.114 0.762
Pt2 0.316 0.386 0.262
Pt3 0.684 0.614 0.738
Pt4 0.684 0.886 0.238

***

2.
Compound: Sm8CoPt2
Source: the Alexandria database
Functional: PBE
Structure: optimized geometry

Results
As for the space-group type: No. 8.

Cell: 7.589 7.589 6.400 Å, 103.08 103.08 109.10°
Positions (direct):
Sm1 0.000 0.000 0.000
Sm2 0.004 0.277 0.545
Sm3 0.195 0.525 0.180
Sm4 0.277 0.004 0.545
Sm5 0.447 0.715 0.812
Sm6 0.525 0.195 0.180
Sm7 0.715 0.447 0.812
Sm8 0.722 0.722 0.397
Co1 0.357 0.357 0.431
Pt1 0.050 0.685 0.699
Pt2 0.685 0.050 0.699

***

3.
Compound: Sm12CoPt6
Source: the Alexandria database
Functional: PBE
Structure: optimized geometry

Results
As for the space-group type: No. 148.

Cell: 8.319 8.319 8.319 Å, 98.97 98.97 98.97°
Positions (direct):
Sm1 0.042 0.931 0.685
Sm2 0.069 0.315 0.958
Sm3 0.178 0.585 0.424
Sm4 0.315 0.958 0.069
Sm5 0.415 0.576 0.822
Sm6 0.424 0.178 0.585
Sm7 0.576 0.822 0.415
Sm8 0.585 0.424 0.178
Sm9 0.685 0.042 0.931
Sm10 0.822 0.415 0.576
Sm11 0.931 0.685 0.042
Sm12 0.958 0.069 0.315
Co1 0.000 0.000 0.000
Pt1 0.134 0.306 0.618
Pt2 0.306 0.618 0.134
Pt3 0.382 0.866 0.694
Pt4 0.618 0.134 0.306
Pt5 0.694 0.382 0.866
Pt6 0.866 0.694 0.382

***

4.
Compound: TbSmCoPt
Source: the Alexandria database
Functional: PBE
Structure: optimized geometry

Results
As for the space-group type: No. 216.

Cell: 6.946 6.946 6.946 Å, 90.00 90.00 90.00°
Positions (direct):
Tb1 0.000 0.000 0.000
Tb2 0.000 0.500 0.500
Tb3 0.500 0.000 0.500
Tb4 0.500 0.500 0.000
Sm1 0.000 0.000 0.500
Sm2 0.000 0.500 0.000
Sm3 0.500 0.000 0.000
Sm4 0.500 0.500 0.500
Co1 0.250 0.250 0.250
Co2 0.250 0.750 0.750
Co3 0.750 0.250 0.750
Co4 0.750 0.750 0.250
Pt1 0.250 0.250 0.750
Pt2 0.250 0.750 0.250
Pt3 0.750 0.250 0.250
Pt4 0.750 0.750 0.750

***

5.
Compound: SmThCoPt
Source: the Alexandria database
Functional: PBE
Structure: optimized geometry

Results
As for the space-group type: No. 38.

Cell: 4.164 3.824 11.243 Å, 90.00 90.00 90.00°
Positions (direct):
Sm1 0.000 0.000 0.000
Sm2 0.000 0.500 0.500
Th1 0.500 0.000 0.722
Th2 0.500 0.500 0.222
Co1 0.000 0.000 0.257
Co2 0.000 0.500 0.757
Pt1 0.500 0.000 0.436
Pt2 0.500 0.500 0.936

***

6.
Compound: SmThCoPt
Source: the Alexandria database
Functional: PBE
Structure: optimized geometry

Results
As for the space-group type: No. 216.

Cell: 7.069 7.069 7.069 Å, 90.00 90.00 90.00°
Positions (direct):
Sm1 0.000 0.000 0.000
Sm2 0.000 0.500 0.500
Sm3 0.500 0.000 0.500
Sm4 0.500 0.500 0.000
Th1 0.000 0.000 0.500
Th2 0.000 0.500 0.000
Th3 0.500 0.000 0.000
Th4 0.500 0.500 0.500
Co1 0.250 0.250 0.750
Co2 0.250 0.750 0.250
Co3 0.750 0.250 0.250
Co4 0.750 0.750 0.750
Pt1 0.250 0.250 0.250
Pt2 0.250 0.750 0.750
Pt3 0.750 0.250 0.750
Pt4 0.750 0.750 0.250

***

7.
Compound: Sm2Th2CoPt2
Source: the Alexandria database
Functional: PBE
Structure: optimized geometry

Results
As for the space-group type: No. 2.

Cell: 4.097 7.106 7.300 Å, 115.53 106.21 90.05°
Positions (direct):
Sm1 0.019 0.254 0.038
Sm2 0.981 0.746 0.962
Th1 0.290 0.261 0.580
Th2 0.710 0.739 0.420
Co1 0.500 0.500 0.000
Pt1 0.368 0.931 0.738
Pt2 0.632 0.069 0.262

***

8.
Compound: SmTmCoPt
Source: the Alexandria database
Functional: PBE
Structure: optimized geometry

Results
As for the space-group type: No. 216.

Cell: 6.887 6.887 6.887 Å, 90.00 90.00 90.00°
Positions (direct):
Sm1 0.000 0.000 0.000
Sm2 0.000 0.500 0.500
Sm3 0.500 0.000 0.500
Sm4 0.500 0.500 0.000
Tm1 0.000 0.000 0.500
Tm2 0.000 0.500 0.000
Tm3 0.500 0.000 0.000
Tm4 0.500 0.500 0.500
Co1 0.250 0.250 0.750
Co2 0.250 0.750 0.250
Co3 0.750 0.250 0.250
Co4 0.750 0.750 0.750
Pt1 0.250 0.250 0.250
Pt2 0.250 0.750 0.750
Pt3 0.750 0.250 0.750
Pt4 0.750 0.750 0.250

***

| no. | uncorrected energy (eV per atom) | formation energy (eV/atom) |
| --- | --- | --- |
| 1 | -5.8635 | -0.585 |
| 2 | -5.5379 | -0.361 |
| 3 | -6.0076 | -0.745 |
| 4 | -6.2072 | -0.583 |
| 5 | -7.0427 | -0.721 |
| 6 | -6.8501 | -0.529 |
| 7 | -6.8661 | -0.657 |
| 8 | -6.2069 | -0.623 |